No. 1
CsAsI2Cl: optimized geometry, PBE.

Cell lengths 5.9029, 5.9029, 5.3495 Å; angles 90.00, 90.00, 90.00 degrees
Closest atoms and distances in Å follow each position.
Sites, in units of the cell vectors:
Cl 0.0000 0.0000 0.5000  2 As 2.67
I 0.0000 0.5000 0.0000  2 As 2.95
I 0.5000 0.0000 0.0000  2 As 2.95
As 0.0000 0.0000 0.0000  2 Cl 2.67, 4 I 2.95
Cs 0.5000 0.5000 0.5000  8 I 3.98, 4 Cl 4.17

Output
Total magnetization: 0.00 μB per cell
Formation energy without anion corrections: -777 meV per atom
N(E_F): 0.2 states/eV/f.u.
Symmetry: P4/mmm



No. 2
Cs2AsI2Cl4: optimized geometry, PBE.

Cell lengths 7.4687, 7.4687, 7.4687 Å; angles 107.14, 110.65, 110.65 degrees
Closest atoms and distances in Å follow each position.
Sites, in units of the cell vectors:
Cs 0.5000 0.7500 0.2500  8 Cl 3.77
Cs 0.5000 0.2500 0.7500  8 Cl 3.77
As 0.0000 0.0000 0.0000  4 Cl 2.47
I 0.0000 0.6808 0.6808  1 As 2.83
I 0.0000 0.3192 0.3192  1 As 2.83
Cl 0.0000 0.2054 0.7946  1 As 2.47
Cl 0.4107 0.2054 0.2054  1 As 2.47
Cl 0.0000 0.7946 0.2054  1 As 2.47
Cl 0.5893 0.7946 0.7946  1 As 2.47

Output
Total magnetization: 0.00 μB per cell
Formation energy without anion corrections: -1089 meV per atom
N(E_F): 5.0 states/eV/f.u.
Symmetry: I4/mmm